1.
BaYTl6 | PBE | optimized geometry

Cell and atoms, written as POSCAR:
```
BaYTl6
1.0
-3.3991 2.2969 -2.7799
-2.4623 -4.2694 -0.5169
-5.2526 2.0470 8.1139
Ba Y Tl
1 1 6
direct
0.0000 0.0000 0.0000
0.0000 0.0000 0.5000
0.5000 0.5000 0.0000
0.5000 0.5000 0.5000
0.5000 0.0000 0.2656
0.5000 0.0000 0.7344
0.0000 0.5000 0.2656
0.0000 0.5000 0.7344
```

Calculated values
**Space-group type**: P4/mmm, No. 123
**Calculated volume**: 30.33 Å³ per atom
**Energy relative to the elements**: -0.243 eV/atom
**E**: -24.527 eV for the cell shown

=====

2.
Ba3YTl12 | PBE | optimized geometry

Cell and atoms, written as POSCAR:
```
Ba3YTl12
1.0
-0.6704 -0.1331 -5.0123
-4.9013 -1.0491 0.6834
-4.2276 19.7782 0.0404
Ba Y Tl
3 1 12
direct
0.0000 0.0000 0.2358
0.0000 0.0000 0.5000
0.0000 0.0000 0.7642
0.0000 0.0000 0.0000
0.5000 0.5000 0.0000
0.5000 0.5000 0.2609
0.5000 0.5000 0.5000
0.5000 0.5000 0.7391
0.5000 0.0000 0.1102
0.5000 0.0000 0.3710
0.5000 0.0000 0.6290
0.5000 0.0000 0.8898
0.0000 0.5000 0.1102
0.0000 0.5000 0.3710
0.0000 0.5000 0.6290
0.0000 0.5000 0.8898
```

Calculated values
**Space-group type**: P4/mmm, No. 123
**Calculated volume**: 32.35 Å³ per atom
**Energy relative to the elements**: -0.244 eV/atom
**E**: -44.534 eV for the cell shown

=====

3.
BaYTl2 | PBE | optimized geometry

Cell and atoms, written as POSCAR:
```
BaYTl2
1.0
-0.4657 -5.1780 -1.4413
1.6178 -4.7750 1.9205
-5.9930 -2.0973 3.9657
Ba Tl Y
1 2 1
direct
0.2500 0.2500 0.2500
0.0056 0.0056 0.9400
0.4944 0.4944 0.5600
0.7500 0.7500 0.7500
```

Calculated values
**Space-group type**: C2/m, No. 12
**Calculated volume**: 36.47 Å³ per atom
**Energy relative to the elements**: -0.249 eV/atom
**E**: -14.116 eV for the cell shown

=====

4.
BaY2Tl2 | PBE | optimized geometry

Cell and atoms, written as POSCAR:
```
BaY2Tl2
1.0
5.0351 0.0000 0.0000
0.0000 5.0351 0.0000
2.5176 2.5176 7.0069
Y Tl Ba
2 2 1
direct
0.7500 0.2500 0.5000
0.2500 0.7500 0.5000
0.3917 0.3917 0.2166
0.6083 0.6083 0.7834
0.0000 0.0000 0.0000
```

Calculated values
**Space-group type**: I4/mmm, No. 139
**Calculated volume**: 35.53 Å³ per atom
**Energy relative to the lowest polymorph listed for this composition**: 35 meV per atom
**Energy relative to the elements**: -0.206 eV/atom
**E**: -20.613 eV for the cell shown

=====

5.
BaYTl2 | PBE | optimized geometry

Cell and atoms, written as POSCAR:
```
BaYTl2
1.0
-0.5378 4.2890 3.8047
0.6653 -2.5149 2.9290
5.7901 1.0340 -0.3473
Ba Tl Y
1 2 1
direct
0.5000 0.6458 0.8513
0.0000 0.1361 0.9118
0.5000 0.1348 0.3547
0.0000 0.5833 0.3822
```

Calculated values
**Space-group type**: Pm, No. 6
**Calculated volume**: 33.23 Å³ per atom
**Energy relative to the elements**: -0.257 eV/atom
**E**: -14.148 eV for the cell shown

=====

6.
BaY4Tl5 | PBE | optimized geometry

Cell and atoms, written as POSCAR:
```
BaY4Tl5
1.0
-0.4269 2.9526 -2.4549
-1.7819 -2.3403 -2.5049
-17.3775 4.3709 8.2785
Ba Y Tl
1 4 5
direct
0.0000 0.0000 0.0000
0.0000 0.0000 0.2165
0.0000 0.0000 0.4058
0.0000 0.0000 0.5942
0.0000 0.0000 0.7835
0.5000 0.5000 0.1248
0.5000 0.5000 0.3121
0.5000 0.5000 0.5000
0.5000 0.5000 0.6879
0.5000 0.5000 0.8752
```

Calculated values
**Space-group type**: P4/mmm, No. 123
**Calculated volume**: 29.46 Å³ per atom
**Energy relative to the elements**: -0.375 eV/atom
**E**: -43.357 eV for the cell shown

=====

7.
BaYTl | PBE | optimized geometry

Cell and atoms, written as POSCAR:
```
BaYTl
1.0
5.5177 0.0000 0.0000
2.7589 4.7785 0.0000
2.7589 1.5928 4.5052
Ba Tl Y
1 1 1
direct
0.7500 0.7500 0.7500
0.0000 0.0000 0.0000
0.5000 0.5000 0.5000
```

Calculated values
**Space-group type**: F-43m, No. 216
**Calculated volume**: 39.60 Å³ per atom
**Energy relative to the lowest polymorph listed for this composition**: 809 meV per atom
**Energy relative to the elements**: 0.504 eV/atom
**E**: -9.243 eV for the cell shown

=====

8.
BaYTl | PBE | optimized geometry

Cell and atoms, written as POSCAR:
```
BaYTl
1.0
-2.1264 -3.3256 -0.2913
1.3768 1.7611 -3.2663
7.1156 -4.5954 0.5215
Ba Tl Y
1 1 1
direct
0.0000 0.0000 0.0264
0.6667 0.3333 0.3524
0.3333 0.6667 0.6212
```

Calculated values
**Space-group type**: P3m1, No. 156
**Calculated volume**: 38.38 Å³ per atom
**Energy relative to the lowest polymorph listed for this composition**: 275 meV per atom
**Energy relative to the elements**: -0.031 eV/atom
**E**: -10.846 eV for the cell shown